Below is a relaxed structure of CuC2S2N6, with properties calculated at the PBE-GGA level.

Results
The calculation puts the volume at 200.6 Å³/f.u. The value obtained for the formation energy without anion corrections is 193.78 kJ per mole of atoms.

POSCAR file:
```
CuC2S2N6
1.0
4.0751 5.0042 -0.2559
-4.0751 5.0042 -0.2559
0.0000 3.6195 4.7334
N C S Cu
6 2 2 1
Direct
0.8132 0.1397 0.2564
0.1397 0.8132 0.2564
0.8603 0.1868 0.7436
0.2922 0.2922 0.2502
0.1868 0.8603 0.7436
0.7078 0.7078 0.7498
0.2810 0.2810 0.0633
0.7190 0.7190 0.9367
0.7256 0.7256 0.2085
0.2744 0.2744 0.7915
0.0000 0.0000 0.0000
```

Below is a relaxed structure of V2AgBiN, with properties calculated at the PBE-GGA level.

Results
The calculation puts the volume at 95.4 Å³/f.u. The value obtained for the formation energy without anion corrections is 162.87 kJ per mole of atoms.

POSCAR file:
```
V2AgBiN
1.0
5.0241 0.0000 0.0000
0.0000 3.7794 0.0000
0.0000 0.0000 5.0241
N V Bi Ag
1 2 1 1
Direct
0.0000 0.5000 0.0000
0.5000 0.0000 0.0000
0.0000 0.0000 0.5000
0.5000 0.5000 0.5000
0.0000 0.0000 0.0000
```

Below is a relaxed structure of Hf4Zr9Zn11, with properties calculated at the PBE-GGA level.

Results
The formation energy comes out at -0.1655 eV/atom. The calculation puts the volume at 454.7 Å³/f.u.

POSCAR file:
```
Hf4Zr9Zn11
1.0
3.1325 0.0000 0.0000
0.0000 11.5609 -4.4954
0.0000 0.4095 12.3974
Zr Zn Hf
9 11 4
Direct
0.5000 0.1544 0.6124
0.5000 0.7968 0.9852
0.5000 0.3876 0.8456
0.5000 0.5000 0.5000
0.5000 0.2032 0.0148
0.5000 0.6124 0.1544
0.5000 0.8456 0.3876
0.5000 0.9852 0.7968
0.5000 0.0148 0.2032
0.0000 0.0484 0.4106
0.0000 0.3748 0.6252
0.0000 0.4106 0.0484
0.0000 0.9516 0.5894
0.0000 0.0000 0.0000
0.0000 0.8141 0.1859
0.0000 0.5894 0.9516
0.0000 0.6252 0.3748
0.0000 0.1859 0.8141
0.0000 0.7922 0.7922
0.0000 0.2078 0.2078
0.5000 0.5892 0.7495
0.5000 0.7495 0.5892
0.5000 0.4108 0.2505
0.5000 0.2505 0.4108
```

Below is a relaxed structure of Th2SnTe, with properties calculated at the PBE-GGA level.

Results
The calculation puts the volume at 115.2 Å³/f.u. Its offset from the most stable computed form is 0.09 eV/f.u. The value obtained for the formation energy without anion corrections is -74.36 kJ per mole of atoms.

POSCAR file:
```
Th2SnTe
1.0
3.7563 0.0000 0.0000
0.0000 3.7563 0.0000
0.0000 0.0000 8.1660
Sn Te Th
1 1 2
Direct
0.5000 0.5000 0.5000
0.5000 0.5000 0.0000
0.0000 0.0000 0.7510
0.0000 0.0000 0.2490
```

Below is a relaxed structure of Ba2ZnGa3Ag4, with properties calculated at the PBE-GGA level.

Results
The formation energy comes out at -0.2582 eV/atom. The calculation puts the volume at 241.4 Å³/f.u.

POSCAR file:
```
Ba2ZnGa3Ag4
1.0
4.7086 0.0000 0.0000
0.0000 4.7086 0.0000
0.0000 0.0000 10.8881
Ga Ag Ba Zn
3 4 2 1
Direct
0.0000 0.5000 0.1221
0.5000 0.0000 0.8779
0.0000 0.0000 0.5000
0.0000 0.0000 0.0000
0.5000 0.5000 0.0000
0.0000 0.5000 0.3735
0.5000 0.0000 0.6265
0.5000 0.0000 0.2525
0.0000 0.5000 0.7475
0.5000 0.5000 0.5000
```

Below is a relaxed structure of Tc2P, with properties calculated at the PBE-GGA level.

Results
The formation energy comes out at -0.2537 eV/atom. The calculation puts the volume at 40.7 Å³/f.u. Its offset from the most stable computed form is 0.55 eV/f.u.

POSCAR file:
```
Tc2P
1.0
1.9820 -3.1974 2.8689
-4.5478 -0.9799 -0.8598
2.3324 -0.0523 -4.1157
P Tc
2 4
Direct
0.7500 0.7500 0.0000
0.2500 0.2500 0.0000
0.8297 0.3297 0.1594
0.6703 0.8297 0.5000
0.3297 0.1703 0.5000
0.1703 0.6703 0.8406
```

Below is a relaxed structure of LuHfSe, with properties calculated at the PBE-GGA level.

Results
The calculation puts the volume at 69.5 Å³/f.u. The value obtained for the formation energy without anion corrections is -40.46 kJ per mole of atoms.

POSCAR file:
```
LuHfSe
1.0
-0.6093 3.5193 0.8406
-4.5552 -0.9137 0.5237
2.8939 -0.3716 3.6532
Se Lu Hf
1 1 1
Direct
0.1662 0.0000 0.0000
0.6670 0.6667 0.3333
0.1668 0.3333 0.6667
```

Below is a relaxed structure of Th2ScAu, with properties calculated at the PBE-GGA level.

Results
The formation energy comes out at -0.1990 eV/atom. The calculation puts the volume at 106.8 Å³/f.u. Its offset from the most stable computed form is 0.04 eV/f.u.

POSCAR file:
```
Th2ScAu
1.0
3.5119 0.0000 0.0000
0.0000 5.5147 0.0000
0.0000 0.0000 5.5147
Th Sc Au
2 1 1
Direct
0.0000 0.5000 0.0000
0.0000 0.0000 0.5000
0.5000 0.5000 0.5000
0.5000 0.0000 0.0000
```

What did the fifth record say?
Below is a relaxed structure of Ba2ZnGa3Ag4, with properties calculated at the PBE-GGA level.

Results
The formation energy comes out at -0.2582 eV/atom. The calculation puts the volume at 241.4 Å³/f.u.

POSCAR file:
```
Ba2ZnGa3Ag4
1.0
4.7086 0.0000 0.0000
0.0000 4.7086 0.0000
0.0000 0.0000 10.8881
Ga Ag Ba Zn
3 4 2 1
Direct
0.0000 0.5000 0.1221
0.5000 0.0000 0.8779
0.0000 0.0000 0.5000
0.0000 0.0000 0.0000
0.5000 0.5000 0.0000
0.0000 0.5000 0.3735
0.5000 0.0000 0.6265
0.5000 0.0000 0.2525
0.0000 0.5000 0.7475
0.5000 0.5000 0.5000
```

Copy entry 5 word for word.
Below is a relaxed structure of Ba2ZnGa3Ag4, with properties calculated at the PBE-GGA level.

Results
The formation energy comes out at -0.2582 eV/atom. The calculation puts the volume at 241.4 Å³/f.u.

POSCAR file:
```
Ba2ZnGa3Ag4
1.0
4.7086 0.0000 0.0000
0.0000 4.7086 0.0000
0.0000 0.0000 10.8881
Ga Ag Ba Zn
3 4 2 1
Direct
0.0000 0.5000 0.1221
0.5000 0.0000 0.8779
0.0000 0.0000 0.5000
0.0000 0.0000 0.0000
0.5000 0.5000 0.0000
0.0000 0.5000 0.3735
0.5000 0.0000 0.6265
0.5000 0.0000 0.2525
0.0000 0.5000 0.7475
0.5000 0.5000 0.5000
```